A geometry-optimized KFeRe3 structure. Source: Alexandria via LeMat-Bulk, functional GGA-PBE.

The structure in extended XYZ format:
```
5
Lattice="-1.702 3.146 2.870 -3.130 -3.020 1.454 2.887 -1.419 3.268" Properties=species:S:1:pos:R:3 pbc="T T T"
Re -1.565 -1.510 0.727
Re 1.443 -0.709 1.634
Re -0.851 1.573 1.435
K -0.973 -0.646 3.796
Fe 0.000 0.000 0.000
```

Calculated values
E_form: 44.27 kcal/mol of atoms
SG: Pm-3m (221)
Total DFT energy (no corrections): -0.2742 hartree per atom
Distance to the lowest polymorph of the same formula: 0.00 eV/f.u.